No. 1
The following is a DFT calculation (GGA-PBE) of an optimized crystal structure of NbNiMo2Rh.

Calculated values
The mass density comes out at 7.153 g/cm³. As for the crystal system: tetragonal. The calculation puts the total magnetization at 0.00 μB per atom. The value obtained for the formation enthalpy at 0 K is 8.36 eV/f.u.

Lattice parameters (Å, degrees): 4.6617 4.6617 4.7687 90.00 90.00 90.00
Closest atoms and distances in Å follow each position.
Fractional positions:
Nb (0.0000, 0.0000, 0.0000)  2 Rh 2.38
Ni (0.5000, 0.5000, 0.0000)  4 Nb 3.30, 8 Mo 3.33
Mo (0.0000, 0.5000, 0.5000)  2 Rh 2.33
Mo (0.5000, 0.0000, 0.5000)  2 Rh 2.33
Rh (0.0000, 0.0000, 0.5000)  4 Mo 2.33, 2 Nb 2.38



No. 2
The following is a DFT calculation (GGA-PBE) of an optimized crystal structure of ScNbNiMo.

Calculated values
The mass density comes out at 7.445 g/cm³. As for the crystal system: cubic. The calculation puts the total magnetization at 0.00 μB per atom. The value obtained for the formation enthalpy at 0 K is -0.40 eV/f.u.

Lattice parameters (Å, degrees): 4.5186 4.5186 4.5186 60.00 60.00 60.00
Closest atoms and distances in Å follow each position.
Fractional positions:
Sc (0.0000, 0.0000, 0.0000)  4 Mo 2.77, 4 Ni 2.77
Nb (0.5000, 0.5000, 0.5000)  4 Mo 2.77, 4 Ni 2.77
Ni (0.2500, 0.2500, 0.2500)  4 Nb 2.77, 4 Sc 2.77
Mo (0.7500, 0.7500, 0.7500)  4 Nb 2.77, 4 Sc 2.77



No. 3
The following is a DFT calculation (GGA-PBE) of an optimized crystal structure of NbNi2MoSe.

Calculated values
The mass density comes out at 6.489 g/cm³. As for the crystal system: tetragonal. The calculation puts the total magnetization at 0.00 μB per atom. The calculation puts the uncorrected formation energy at 6.28 eV per formula unit.

Lattice parameters (Å, degrees): 4.5541 4.5541 4.7527 90.00 90.00 90.00
Closest atoms and distances in Å follow each position.
Fractional positions:
Nb (0.0000, 0.0000, 0.0000)  2 Mo 2.38
Ni (0.0000, 0.5000, 0.5000)  2 Mo 2.28
Ni (0.5000, 0.0000, 0.5000)  2 Mo 2.28
Mo (0.0000, 0.0000, 0.5000)  4 Ni 2.28, 2 Nb 2.38
Se (0.5000, 0.5000, 0.0000)  4 Nb 3.22, 8 Ni 3.29



No. 4
The following is a DFT calculation (GGA-PBE) of an optimized crystal structure of TaNbNiMo.

Calculated values
The mass density comes out at 11.169 g/cm³. As for the crystal system: cubic. The calculation puts the total magnetization at 0.00 μB per atom. The value obtained for the formation enthalpy at 0 K is -0.31 eV/f.u.

Lattice parameters (Å, degrees): 4.4829 4.4829 4.4829 60.00 60.00 60.00
Closest atoms and distances in Å follow each position.
Fractional positions:
Ta (0.0000, 0.0000, 0.0000)  4 Mo 2.75, 4 Ni 2.75
Nb (0.5000, 0.5000, 0.5000)  4 Mo 2.75, 4 Ni 2.75
Ni (0.2500, 0.2500, 0.2500)  4 Nb 2.75, 4 Ta 2.75
Mo (0.7500, 0.7500, 0.7500)  4 Nb 2.75, 4 Ta 2.75



No. 5
The following is a DFT calculation (GGA-PBE) of an optimized crystal structure of NbTc2NiMo.

Calculated values
The mass density comes out at 7.872 g/cm³. As for the crystal system: tetragonal. The calculation puts the total magnetization at 0.00 μB per atom. The value obtained for the formation enthalpy at 0 K is 7.15 eV/f.u.

Lattice parameters (Å, degrees): 4.6078 4.6078 4.4068 90.00 90.00 90.00
Closest atoms and distances in Å follow each position.
Fractional positions:
Nb (0.0000, 0.0000, 0.0000)  8 Tc 3.19, 4 Ni 3.26
Tc (0.0000, 0.5000, 0.5000)  2 Mo 2.30
Tc (0.5000, 0.0000, 0.5000)  2 Mo 2.30
Ni (0.5000, 0.5000, 0.0000)  2 Mo 2.20
Mo (0.5000, 0.5000, 0.5000)  2 Ni 2.20, 4 Tc 2.30



No. 6
The following is a DFT calculation (GGA-PBE) of an optimized crystal structure of NbTl2NiMo.

Calculated values
The mass density comes out at 9.958 g/cm³. As for the crystal system: tetragonal. The calculation puts the total magnetization at 0.41 μB per atom. The value obtained for the formation enthalpy at 0 K is 5.77 eV/f.u.

Lattice parameters (Å, degrees): 4.7900 4.7900 4.7700 90.00 90.00 90.00
Closest atoms and distances in Å follow each position.
Fractional positions:
Nb (0.0000, 0.0000, 0.0000)  2 Ni 2.39
Tl (0.0000, 0.5000, 0.5000)  2 Ni 2.39
Tl (0.5000, 0.0000, 0.5000)  2 Ni 2.39
Ni (0.0000, 0.0000, 0.5000)  2 Nb 2.39, 4 Tl 2.39
Mo (0.5000, 0.5000, 0.0000)  8 Tl 3.38, 4 Nb 3.39



No. 7
The following is a DFT calculation (GGA-PBE) of an optimized crystal structure of NpNb2Mo.

Calculated values
The mass density comes out at 11.765 g/cm³. As for the crystal system: cubic. The calculation puts the total magnetization at 0.60 μB per atom. As for the polymorph energy (0 for the lowest one): 51 meV per atom. The value obtained for the formation enthalpy at 0 K is 1.11 eV/f.u.

Lattice parameters (Å, degrees): 4.6958 4.6958 4.6958 60.00 60.00 60.00
Closest atoms and distances in Å follow each position.
Fractional positions:
Np (0.0000, 0.0000, 0.0000)  8 Nb 2.88
Nb (0.2500, 0.2500, 0.2500)  4 Mo 2.88, 4 Np 2.88
Nb (0.7500, 0.7500, 0.7500)  4 Mo 2.88, 4 Np 2.88
Mo (0.5000, 0.5000, 0.5000)  8 Nb 2.88



No. 8
The following is a DFT calculation (GGA-PBE) of an optimized crystal structure of NpNb2Mo.

Calculated values
The mass density comes out at 11.718 g/cm³. As for the crystal system: tetragonal. The calculation puts the total magnetization at 0.76 μB per atom. As for the polymorph energy (0 for the lowest one): 73 meV per atom. The value obtained for the formation enthalpy at 0 K is 1.19 eV/f.u.

Lattice parameters (Å, degrees): 4.7981 4.7981 3.1932 90.00 90.00 90.00
Closest atoms and distances in Å follow each position.
Fractional positions:
Np (0.0000, 0.0000, 0.0000)  8 Nb 2.88, 2 Np 3.19
Nb (0.0000, 0.5000, 0.5000)  4 Mo 2.88, 4 Np 2.88, 2 Nb 3.19
Nb (0.5000, 0.0000, 0.5000)  4 Mo 2.88, 4 Np 2.88, 2 Nb 3.19
Mo (0.5000, 0.5000, 0.0000)  8 Nb 2.88, 2 Mo 3.19



No. 9
The following is a DFT calculation (GGA-PBE) of an optimized crystal structure of NpNb2Mo.

Calculated values
The mass density comes out at 11.366 g/cm³. As for the crystal system: trigonal. The calculation puts the total magnetization at 0.80 μB per atom. As for the polymorph energy (0 for the lowest one): 153 meV per atom. The value obtained for the formation enthalpy at 0 K is 1.51 eV/f.u.

Lattice parameters (Å, degrees): 9.3297 9.3297 9.3297 19.07 19.07 19.07
Closest atoms and distances in Å follow each position.
Fractional positions:
Np (0.0000, 0.0000, 0.0000)  6 Nb 3.09, 6 Np 3.09
Nb (0.2416, 0.2416, 0.2416)  3 Mo 2.73
Nb (0.7584, 0.7584, 0.7584)  3 Mo 2.73
Mo (0.5000, 0.5000, 0.5000)  6 Nb 2.73



No. 10
The following is a DFT calculation (GGA-PBE) of an optimized crystal structure of NpNbMo.

Calculated values
The mass density comes out at 12.457 g/cm³. As for the crystal system: tetragonal. The calculation puts the total magnetization at 1.13 μB per atom. As for the polymorph energy (0 for the lowest one): 0 meV per atom. The value obtained for the formation enthalpy at 0 K is 0.93 eV/f.u.

Lattice parameters (Å, degrees): 5.8048 5.8048 5.8048 147.33 147.33 46.87
Closest atoms and distances in Å follow each position.
Fractional positions:
Np (0.0000, 0.0000, 0.0000)  4 Mo 2.92, 4 Nb 3.04, 4 Np 3.26
Nb (0.6852, 0.6852, 0.0000)  4 Mo 2.79, 4 Np 3.04
Mo (0.3316, 0.3316, 0.0000)  4 Nb 2.79, 4 Np 2.92



No. 11
The following is a DFT calculation (GGA-PBE) of an optimized crystal structure of NpNbMo.

Calculated values
The mass density comes out at 12.629 g/cm³. As for the crystal system: tetragonal. The calculation puts the total magnetization at 0.00 μB per atom. As for the polymorph energy (0 for the lowest one): 90 meV per atom. The value obtained for the formation enthalpy at 0 K is 1.20 eV/f.u.

Lattice parameters (Å, degrees): 11.0600 11.0600 11.0600 163.28 163.28 23.73
Closest atoms and distances in Å follow each position.
Fractional positions:
Np (0.2201, 0.2201, 0.0000)  4 Np 2.62
Np (0.7799, 0.7799, 0.0000)  4 Np 2.62
Nb (0.0635, 0.0635, 0.0000)  4 Mo 2.74, 1 Nb 2.75
Nb (0.9365, 0.9365, 0.0000)  4 Mo 2.74, 1 Nb 2.75
Mo (0.3659, 0.3659, 0.0000)  4 Nb 2.74, 4 Np 2.94
Mo (0.6341, 0.6341, 0.0000)  4 Nb 2.74, 4 Np 2.94



No. 12
The following is a DFT calculation (GGA-PBE) of an optimized crystal structure of NpNb2Mo.

Calculated values
The mass density comes out at 11.523 g/cm³. As for the crystal system: tetragonal. The calculation puts the total magnetization at 0.89 μB per atom. As for the polymorph energy (0 for the lowest one): 0 meV per atom. The value obtained for the formation enthalpy at 0 K is 0.90 eV/f.u.

Lattice parameters (Å, degrees): 3.2267 3.2267 7.1800 90.00 90.00 90.00
Closest atoms and distances in Å follow each position.
Fractional positions:
Np (0.0000, 0.0000, 0.0000)  8 Nb 3.02, 4 Np 3.23
Nb (0.5000, 0.5000, 0.2755)  4 Mo 2.79, 4 Np 3.02
Nb (0.5000, 0.5000, 0.7245)  4 Mo 2.79, 4 Np 3.02
Mo (0.0000, 0.0000, 0.5000)  8 Nb 2.79